No. 1
Tb3PtAu | PBE | relaxed

Properties
VASP energy = -0.402 Ry per atom
DOS at the Fermi energy = 8.94 states/eV per cell
Total magnetic moment = 0.00 μB/f.u.
Energy relative to the elements = -823 meV per atom

Cell: 4.1532 7.2204 8.8929 Å, 90.00 90.00 90.00°
Closest atoms and distances in Å follow each position.
Fractional coordinates of all 10 atoms:
Tb 0.7500 0.7500 0.0596  2 Au 2.90, 1 Pt 3.10
Tb 0.2500 0.2500 0.9404  2 Au 2.90, 1 Pt 3.10
Tb 0.7500 0.9941 0.6731  3 Pt 2.87-2.94, 2 Au 3.07
Tb 0.7500 0.5059 0.6731  3 Pt 2.87-2.94, 2 Au 3.07
Tb 0.2500 0.0059 0.3269  3 Pt 2.87-2.94, 2 Au 3.07
Tb 0.2500 0.4941 0.3269  3 Pt 2.87-2.94, 2 Au 3.07
Pt 0.7500 0.7500 0.4080  7 Tb 2.87-3.10
Pt 0.2500 0.2500 0.5920  7 Tb 2.87-3.10
Au 0.7500 0.2500 0.1675  6 Tb 2.90-3.07
Au 0.2500 0.7500 0.8325  6 Tb 2.90-3.07



No. 2
Na2CdIr | PBE | relaxed

Properties
VASP energy = -0.198 Ry per atom
DOS at the Fermi energy = 3.47 states/eV per cell
Total magnetic moment = 0.00 μB/f.u.
Energy relative to the elements = 412 meV per atom

Cell: 3.9686 3.9686 10.8930 Å, 79.50 79.50 90.00°
Closest atoms and distances in Å follow each position.
Fractional coordinates of all 8 atoms:
Na 0.6375 0.1250 0.2500  4 Na 2.74-2.88, 2 Ir 2.97, 2 Cd 3.00
Na 0.1125 0.6250 0.2500  4 Na 2.74-2.88, 2 Ir 2.97, 2 Cd 3.00
Na 0.3750 0.3625 0.7500  4 Na 2.74-2.88, 2 Ir 2.97, 2 Cd 3.00
Na 0.8750 0.8875 0.7500  4 Na 2.74-2.88, 2 Ir 2.97, 2 Cd 3.00
Ir 0.0000 0.0000 0.0000  4 Cd 2.81, 4 Na 2.97
Ir 0.7500 0.2500 0.5000  4 Cd 2.81, 4 Na 2.97
Cd 0.5000 0.5000 0.0000  4 Ir 2.81, 4 Na 3.00
Cd 0.2500 0.7500 0.5000  4 Ir 2.81, 4 Na 3.00